(one)
# PBE AcNd3Pt2, relaxed
data_AcNd3Pt2
_symmetry_space_group_name_H-M 'P 1'
_symmetry_Int_Tables_number 1
_symmetry_space_group_name_Hall 'P 1'
_cell_length_a 4.973
_cell_length_b 7.556
_cell_length_c 9.246
_cell_angle_alpha 90.00
_cell_angle_beta 90.00
_cell_angle_gamma 90.00
loop_
_atom_site_label
_atom_site_fract_x
_atom_site_fract_y
_atom_site_fract_z
_atom_site_occupancy
Ac1 0.500 0.506 0.581 1
Ac2 0.500 0.006 0.419 1
Nd1 0.000 0.491 0.917 1
Nd2 0.000 0.991 0.083 1
Nd3 0.500 0.644 0.155 1
Nd4 0.500 0.144 0.845 1
Nd5 0.000 0.361 0.324 1
Nd6 0.000 0.861 0.676 1
Pt1 0.500 0.747 0.841 1
Pt2 0.500 0.247 0.159 1
Pt3 0.000 0.250 0.666 1
Pt4 0.000 0.750 0.334 1
# Calculated volume ... 28.95 A^3/atom
# SG ... No. 26
# D(E_F) ... 12.91 states/eV per cell
# Total moment ... 0.00 μB/cell


(two)
# PBE AcNd3Pt2, relaxed
data_AcNd3Pt2
_symmetry_space_group_name_H-M 'P 1'
_symmetry_Int_Tables_number 1
_symmetry_space_group_name_Hall 'P 1'
_cell_length_a 5.160
_cell_length_b 9.331
_cell_length_c 8.879
_cell_angle_alpha 118.64
_cell_angle_beta 90.00
_cell_angle_gamma 106.05
loop_
_atom_site_label
_atom_site_fract_x
_atom_site_fract_y
_atom_site_fract_z
_atom_site_occupancy
Ac1 0.846 0.692 0.944 1
Ac2 0.154 0.308 0.056 1
Nd1 0.306 0.611 0.604 1
Nd2 0.945 0.890 0.629 1
Nd3 0.606 0.212 0.702 1
Nd4 0.394 0.788 0.298 1
Nd5 0.055 0.110 0.371 1
Nd6 0.694 0.389 0.396 1
Pt1 0.489 0.978 0.839 1
Pt2 0.511 0.022 0.161 1
Pt3 0.802 0.604 0.241 1
Pt4 0.198 0.396 0.759 1
# Calculated volume ... 29.67 A^3/atom
# SG ... No. 12
# D(E_F) ... 11.54 states/eV per cell
# Total moment ... 0.00 μB/cell


Which one is most stable, and which one is least stable? (one) is the most stable of them, while (two) is the least stable.


(one)
# PBE AcNdPtRh, relaxed
data_AcNdPtRh
_symmetry_space_group_name_H-M 'P 1'
_symmetry_Int_Tables_number 1
_symmetry_space_group_name_Hall 'P 1'
_cell_length_a 5.179
_cell_length_b 5.179
_cell_length_c 5.179
_cell_angle_alpha 60.00
_cell_angle_beta 60.00
_cell_angle_gamma 60.00
loop_
_atom_site_label
_atom_site_fract_x
_atom_site_fract_y
_atom_site_fract_z
_atom_site_occupancy
Rh1 0.250 0.250 0.250 1
Ac1 0.000 0.000 0.000 1
Nd1 0.500 0.500 0.500 1
Pt1 0.750 0.750 0.750 1
# Calculated volume ... 24.56 A^3/atom
# SG ... No. 216
# D(E_F) ... 2.06 states/eV per cell
# Total moment ... 0.00 μB/cell


(two)
# PBE AcNdPtRh, relaxed
data_AcNdPtRh
_symmetry_space_group_name_H-M 'P 1'
_symmetry_Int_Tables_number 1
_symmetry_space_group_name_Hall 'P 1'
_cell_length_a 4.067
_cell_length_b 4.459
_cell_length_c 5.964
_cell_angle_alpha 90.00
_cell_angle_beta 109.93
_cell_angle_gamma 90.00
loop_
_atom_site_label
_atom_site_fract_x
_atom_site_fract_y
_atom_site_fract_z
_atom_site_occupancy
Ac1 0.142 0.000 0.285 1
Nd1 0.865 0.500 0.730 1
Pt1 0.585 0.500 0.169 1
Rh1 0.408 0.000 0.816 1
# Calculated volume ... 25.42 A^3/atom
# SG ... No. 38
# D(E_F) ... 2.09 states/eV per cell
# Total moment ... 0.00 μB/cell


Which one is most stable, and which one is least stable? (two) is the most stable of them, while (one) is the least stable.


(one)
# PBE AcNdSnPt, relaxed
data_AcNdSnPt
_symmetry_space_group_name_H-M 'P 1'
_symmetry_Int_Tables_number 1
_symmetry_space_group_name_Hall 'P 1'
_cell_length_a 4.924
_cell_length_b 4.924
_cell_length_c 10.658
_cell_angle_alpha 90.00
_cell_angle_beta 90.00
_cell_angle_gamma 90.00
loop_
_atom_site_label
_atom_site_fract_x
_atom_site_fract_y
_atom_site_fract_z
_atom_site_occupancy
Ac1 0.000 0.500 0.802 1
Ac2 0.500 0.000 0.198 1
Nd1 0.000 0.000 0.500 1
Nd2 0.500 0.500 0.500 1
Sn1 0.500 0.000 0.895 1
Sn2 0.000 0.500 0.105 1
Pt1 0.000 0.500 0.350 1
Pt2 0.500 0.000 0.650 1
# Calculated volume ... 32.30 A^3/atom
# SG ... No. 129
# D(E_F) ... 6.11 states/eV per cell
# Total moment ... 0.00 μB/cell


(two)
# PBE AcNdSnPt, relaxed
data_AcNdSnPt
_symmetry_space_group_name_H-M 'P 1'
_symmetry_Int_Tables_number 1
_symmetry_space_group_name_Hall 'P 1'
_cell_length_a 5.460
_cell_length_b 5.460
_cell_length_c 5.460
_cell_angle_alpha 60.00
_cell_angle_beta 60.00
_cell_angle_gamma 60.00
loop_
_atom_site_label
_atom_site_fract_x
_atom_site_fract_y
_atom_site_fract_z
_atom_site_occupancy
Ac1 0.000 0.000 0.000 1
Nd1 0.500 0.500 0.500 1
Sn1 0.750 0.750 0.750 1
Pt1 0.250 0.250 0.250 1
# Calculated volume ... 28.78 A^3/atom
# SG ... No. 216
# D(E_F) ... 1.53 states/eV per cell
# Total moment ... 0.00 μB/cell


Which one is most stable, and which one is least stable? (two) is the most stable of them, while (one) is the least stable.


(one)
# PBE Ac2NdPu, relaxed
data_Ac2NdPu
_symmetry_space_group_name_H-M 'P 1'
_symmetry_Int_Tables_number 1
_symmetry_space_group_name_Hall 'P 1'
_cell_length_a 6.002
_cell_length_b 6.002
_cell_length_c 6.002
_cell_angle_alpha 60.00
_cell_angle_beta 60.00
_cell_angle_gamma 60.00
loop_
_atom_site_label
_atom_site_fract_x
_atom_site_fract_y
_atom_site_fract_z
_atom_site_occupancy
Ac1 0.250 0.250 0.250 1
Ac2 0.750 0.750 0.750 1
Nd1 0.500 0.500 0.500 1
Pu1 0.000 0.000 0.000 1
# Calculated volume ... 38.21 A^3/atom
# SG ... No. 225
# D(E_F) ... 15.42 states/eV per cell
# Total moment ... 7.70 μB/cell


(two)
# PBE Ac2NdPu, relaxed
data_Ac2NdPu
_symmetry_space_group_name_H-M 'P 1'
_symmetry_Int_Tables_number 1
_symmetry_space_group_name_Hall 'P 1'
_cell_length_a 3.818
_cell_length_b 3.818
_cell_length_c 12.351
_cell_angle_alpha 81.11
_cell_angle_beta 81.11
_cell_angle_gamma 60.00
loop_
_atom_site_label
_atom_site_fract_x
_atom_site_fract_y
_atom_site_fract_z
_atom_site_occupancy
Ac1 0.081 0.081 0.756 1
Ac2 0.252 0.252 0.244 1
Nd1 0.499 0.499 0.502 1
Pu1 0.667 0.667 0.999 1
# Calculated volume ... 38.36 A^3/atom
# SG ... No. 160
# D(E_F) ... 12.61 states/eV per cell
# Total moment ... 6.53 μB/cell


(three)
# PBE Ac2NdPu, relaxed
data_Ac2NdPu
_symmetry_space_group_name_H-M 'P 1'
_symmetry_Int_Tables_number 1
_symmetry_space_group_name_Hall 'P 1'
_cell_length_a 3.808
_cell_length_b 3.808
_cell_length_c 10.489
_cell_angle_alpha 90.00
_cell_angle_beta 90.00
_cell_angle_gamma 90.00
loop_
_atom_site_label
_atom_site_fract_x
_atom_site_fract_y
_atom_site_fract_z
_atom_site_occupancy
Ac1 0.000 0.000 0.757 1
Ac2 0.000 0.000 0.243 1
Nd1 0.500 0.500 0.500 1
Pu1 0.500 0.500 0.000 1
# Calculated volume ... 38.02 A^3/atom
# SG ... No. 123
# D(E_F) ... 11.10 states/eV per cell
# Total moment ... 6.52 μB/cell


Which one is most stable, and which one is least stable? (three) is the most stable of them, while (one) is the least stable.